VASP calculation (SCAN) on a crystal of CsCoBr2 relaxed with PBEsol.

abc: 3.9459 3.9459 27.5228
angles: 90.00 90.00 120.00
Space group R-3m (No. 166, hexagonal axes)
Unique sites:
Cs (0.0000, 0.0000, 0.0000) [3 per cell]
Co (0.0000, 0.0000, 0.5000) [3 per cell]
Br (0.0000, 0.0000, 0.1202) [6 per cell]

- Total moment: 6.40 Bohr magnetons per cell
- Density of states at the Fermi level: 10.7 states/eV/cell
- Formation energy from raw total energies: -0.60 eV per atom
- ρ: 4.72 g/cm3
- Calculated volume: 30.9 Å³/atom